Arrangement A

CaSc2Pd2 | PBE | optimized geometry

Structure (POSCAR):
```
CaSc2Pd2
1.0
-2.114 2.114 6.626
2.114 -2.114 6.626
2.114 2.114 -6.626
Ca Sc Pd
1 2 2
direct
0.000 0.000 0.000
0.372 0.372 0.000
0.628 0.628 0.000
0.250 0.750 0.500
0.750 0.250 0.500
```

Arrangement B

CaSc2Pd2 | PBE | optimized geometry

Structure (POSCAR):
```
CaSc2Pd2
1.0
8.184 0.000 0.000
0.000 8.184 0.000
0.000 0.000 3.066
Ca Sc Pd
2 4 4
direct
0.000 0.000 0.000
0.500 0.500 0.000
0.135 0.365 0.000
0.365 0.865 0.000
0.635 0.135 0.000
0.865 0.635 0.000
0.160 0.660 0.500
0.340 0.160 0.500
0.660 0.840 0.500
0.840 0.340 0.500
```

The structure with the most favorable energy is arrangement B; the runner-up is 258 meV/atom above it.

Arrangement A

CaSc2Pd2 | PBE | optimized geometry

Structure (POSCAR):
```
CaSc2Pd2
1.0
5.953 0.000 0.000
-2.967 6.125 0.000
-2.966 -1.896 6.532
Ca Sc Pd
2 4 4
direct
0.114 0.250 0.251
0.886 0.750 0.749
0.192 0.383 0.790
0.479 0.881 0.289
0.521 0.119 0.711
0.808 0.617 0.210
0.275 0.678 0.534
0.435 0.177 0.034
0.565 0.823 0.966
0.725 0.322 0.466
```

Arrangement B

CaSc2Pd2 | PBE | optimized geometry

Structure (POSCAR):
```
CaSc2Pd2
1.0
7.917 0.000 0.000
0.000 7.917 0.000
0.000 0.000 3.412
Ca Sc Pd
2 4 4
direct
0.000 0.000 0.000
0.500 0.500 0.000
0.147 0.353 0.500
0.353 0.853 0.500
0.647 0.147 0.500
0.853 0.647 0.500
0.139 0.639 0.000
0.361 0.139 0.000
0.639 0.861 0.000
0.861 0.361 0.000
```

The structure with the most favorable energy is arrangement B; the runner-up is 89 meV/atom above it.